CrMoC2Br | PBE | relaxed

Lattice parameters (Å, degrees): 4.0115 4.0115 5.3271 90.00 90.00 90.00
Space group P4/mmm (No. 123)
Asymmetric unit:
Cr 0.0000 0.0000 0.0000 x1
Mo 0.5000 0.5000 0.5000 x1
C 0.0000 0.5000 0.5000 x2
Br 0.5000 0.5000 0.0000 x1

Its raw formation energy is 1.926 eV per atom. Its total energy is -6.19 eV per atom.

---

TbMoH3 | PBE | relaxed

Lattice parameters (Å, degrees): 3.6951 3.6951 3.6951 90.00 90.00 90.00
Space group Pm-3m (No. 221)
Asymmetric unit:
Tb 0.0000 0.0000 0.0000 x1
Mo 0.5000 0.5000 0.5000 x1
H 0.0000 0.5000 0.5000 x3

Its total energy is -5.41 eV per atom.

---

Pr3TaO7 | PBE | relaxed

Lattice parameters (Å, degrees): 7.8865 10.9983 7.7480 90.00 90.00 90.00
Space group C222_1 (No. 20)
Asymmetric unit:
Pr 0.0370 0.0000 0.0000 x4
Pr 0.2330 0.2688 0.7596 x8
Ta 0.0015 0.5000 0.0000 x4
O 0.0000 0.1293 0.2500 x4
O 0.0000 0.1376 0.7500 x4
O 0.0000 0.4434 0.7500 x4
O 0.1704 0.3740 0.0402 x8
O 0.1988 0.3798 0.4787 x8

Its raw formation energy is -3.281 eV per atom. Its total energy is -8.82 eV per atom.

---

BiTeRhN2 | PBE | relaxed

Lattice parameters (Å, degrees): 4.2053 4.2053 6.5769 90.00 90.00 90.00
Space group P4/mmm (No. 123)
Asymmetric unit:
Bi 0.0000 0.0000 0.0000 x1
Te 0.0000 0.0000 0.5000 x1
Rh 0.5000 0.5000 0.5000 x1
N 0.0000 0.5000 0.0000 x2

Its raw formation energy is 1.839 eV per atom. Its total energy is -4.37 eV per atom.

---

SrNdLu2 | PBE | relaxed

Lattice parameters (Å, degrees): 3.6907 3.6907 10.4939 90.00 90.00 90.00
Space group P4/mmm (No. 123)
Asymmetric unit:
Sr 0.0000 0.0000 0.0000 x1
Nd 0.0000 0.0000 0.5000 x1
Lu 0.5000 0.5000 0.2775 x2

Its total energy is -3.72 eV per atom. The calculation puts the formation energy at 0.1526 eV/atom.

---

Pr3CoNi | PBE | relaxed

Lattice parameters (Å, degrees): 10.7546 6.4719 7.7739 90.00 111.23 90.00
Space group C2/m (No. 12)
Asymmetric unit:
Pr 0.0015 0.0000 0.2441 x4
Pr 0.1891 0.5000 0.3440 x4
Pr 0.1887 0.5000 0.8453 x4
Co 0.0000 0.3209 0.0000 x4
Ni 0.0000 0.3115 0.5000 x4

Its total energy is -5.56 eV per atom. The calculation puts the formation energy at -0.1143 eV/atom.

---

Re2RuPb | PBE | relaxed

Lattice parameters (Å, degrees): 2.8995 2.8995 28.2509 90.00 90.00 120.00
Space group R-3m (No. 166, hexagonal axes)
Asymmetric unit:
Re 0.0000 0.0000 0.2404 x6
Ru 0.0000 0.0000 0.5000 x3
Pb 0.0000 0.0000 0.0000 x3

Its total energy is -8.76 eV per atom. The calculation puts the formation energy at 0.7145 eV/atom.

---

TlTeAs2 | PBE | relaxed

Lattice parameters (Å, degrees): 8.3917 8.3295 2.9990 90.00 91.92 90.00
Space group C2/m (No. 12)
Asymmetric unit:
Tl 0.0000 0.0000 0.0000 x2
Te 0.0000 0.5000 0.0000 x2
As 0.2500 0.2500 0.0000 x4

Its raw formation energy is 0.214 eV per atom. Its total energy is -3.49 eV per atom.

---

NaTi2BiO6 | PBE | relaxed

Lattice parameters (Å, degrees): 5.3690 5.3690 4.6191 90.00 90.00 90.00
Space group P4mm (No. 99)
Asymmetric unit:
Na 0.0000 0.0000 0.0000 x1
Ti 0.0000 0.5000 0.4405 x2
Bi 0.5000 0.5000 0.0338 x1
O 0.0000 0.5000 0.8181 x2
O 0.2560 0.2560 0.3230 x4

Its raw formation energy is -2.420 eV per atom. Its total energy is -7.49 eV per atom.

---

LiAg3O | PBE | relaxed

Lattice parameters (Å, degrees): 4.5192 4.5192 4.5192 90.00 90.00 90.00
Space group Pm-3m (No. 221)
Asymmetric unit:
Li 0.0000 0.0000 0.0000 x1
Ag 0.0000 0.5000 0.5000 x3
O 0.5000 0.5000 0.5000 x1

Its raw formation energy is 0.027 eV per atom. Its total energy is -3.06 eV per atom.

---

La3TeAu | PBE | relaxed

Lattice parameters (Å, degrees): 5.7931 5.7931 5.7931 90.00 90.00 90.00
Space group Pm-3m (No. 221)
Asymmetric unit:
La 0.0000 0.0000 0.5000 x3
Te 0.5000 0.5000 0.5000 x1
Au 0.0000 0.0000 0.0000 x1

Its raw formation energy is -0.427 eV per atom. Its total energy is -4.67 eV per atom.

---

ZnHW2 | PBE | relaxed

Lattice parameters (Å, degrees): 5.9180 5.9180 5.9180 90.00 90.00 90.00
Space group Fm-3m (No. 225)
Asymmetric unit:
Zn 0.0000 0.0000 0.0000 x4
H 0.0000 0.0000 0.5000 x4
W 0.2500 0.2500 0.2500 x8

Its total energy is -6.56 eV per atom.

---

Be2TlAgCl6 | PBE | relaxed

Lattice parameters (Å, degrees): 12.7147 12.0822 6.5834 90.00 105.41 90.00
Space group C2/c (No. 15)
Asymmetric unit:
Be 0.2196 0.0822 0.2796 x8
Tl 0.0000 0.1967 0.7500 x4
Ag 0.0000 0.3767 0.2500 x4
Cl 0.1183 0.4269 0.6447 x8
Cl 0.1520 0.0244 0.5200 x8
Cl 0.1627 0.2344 0.2035 x8

Its raw formation energy is -1.130 eV per atom. Its total energy is -3.51 eV per atom.

---

LaHgTe2 | PBE | relaxed

Lattice parameters (Å, degrees): 5.0671 5.0671 9.2600 90.00 90.00 90.00
Space group I4/mmm (No. 139)
Asymmetric unit:
La 0.0000 0.0000 0.0000 x2
Hg 0.0000 0.0000 0.5000 x2
Te 0.0000 0.5000 0.2500 x4

Its raw formation energy is -0.817 eV per atom. Its total energy is -3.70 eV per atom.

---

NdDy4Tm5 | PBE | relaxed

Lattice parameters (Å, degrees): 10.1506 10.1506 6.2479 90.00 90.00 90.00
Space group I4 (No. 79)
Asymmetric unit:
Nd 0.0000 0.0000 0.0000 x2
Dy 0.0509 0.6502 0.2301 x8
Tm 0.0000 0.0000 0.4582 x2
Tm 0.1439 0.7664 0.7258 x8

Its total energy is -4.25 eV per atom. The calculation puts the formation energy at 0.3067 eV/atom.

---

Na2HgF6 | PBE | relaxed

Lattice parameters (Å, degrees): 5.3461 5.9680 9.5827 90.00 90.00 90.00
Space group Pnnm (No. 58)
Asymmetric unit:
Na 0.0000 0.0000 0.1914 x4
Hg 0.0000 0.5000 0.0000 x2
F 0.1972 0.1929 0.0000 x4
F 0.2136 0.6581 0.1600 x8

Its raw formation energy is -1.752 eV per atom. Its total energy is -3.33 eV per atom.

---

Dy5Ag2 | PBE | relaxed

Lattice parameters (Å, degrees): 15.9138 7.1897 6.8033 90.00 90.44 90.00
Space group C2/c (No. 15)
Asymmetric unit:
Dy 0.0000 0.0028 0.2500 x4
Dy 0.0940 0.3569 0.5023 x8
Dy 0.2250 0.0144 0.7585 x8
Ag 0.1133 0.2496 0.0071 x8

Its total energy is -4.23 eV per atom. The calculation puts the formation energy at -0.1233 eV/atom.

---

Ta2ZnAu | PBE | relaxed

Lattice parameters (Å, degrees): 2.8926 2.8926 28.9131 90.00 90.00 120.00
Space group R3m (No. 160, hexagonal axes)
Asymmetric unit:
Ta 0.0000 0.0000 0.0000 x3
Ta 0.0000 0.0000 0.2440 x3
Zn 0.0000 0.0000 0.4954 x3
Au 0.0000 0.0000 0.7508 x3

Its total energy is -6.97 eV per atom. The calculation puts the formation energy at 0.0979 eV/atom.

---

SmCrSb2 | PBE | relaxed

Lattice parameters (Å, degrees): 4.2600 4.2600 19.4760 90.00 90.00 120.00
Space group R-3m (No. 166, hexagonal axes)
Asymmetric unit:
Sm 0.0000 0.0000 0.0000 x3
Cr 0.0000 0.0000 0.5000 x3
Sb 0.0000 0.0000 0.2338 x6

Its raw formation energy is -0.447 eV per atom. Its total energy is -6.09 eV per atom.

---

Pm12Nd5Al2 | PBE | relaxed

Lattice parameters (Å, degrees): 18.1508 8.0954 9.0561 90.00 108.53 90.00
Space group C2/m (No. 12)
Asymmetric unit:
Pm 0.0161 0.0000 0.1913 x4
Pm 0.0523 0.5000 0.6667 x4
Pm 0.1340 0.3000 0.3651 x8
Pm 0.1533 0.2667 0.9697 x8
Nd 0.0000 0.5000 0.0000 x2
Nd 0.1858 0.0000 0.6701 x4
Nd 0.2490 0.0000 0.2804 x4
Al 0.0000 0.1617 0.5000 x4

Its total energy is -4.59 eV per atom. The calculation puts the formation energy at 0.0562 eV/atom.